Material: VClF3
Method: DFT, GGA+U
State: relaxed

Unit cell a=4.4152 b=4.4152 c=4.4152 alpha=90.00 beta=90.00 gamma=90.00
Closest atoms and distances in Å follow each position.
Positions (direct):
F 0.0000 0.0000 0.5000  2 Cl 2.21
F 0.5000 0.0000 0.0000  2 Cl 2.21
Cl 0.0000 0.0000 0.0000  6 F 2.21
F 0.0000 0.5000 0.0000  2 Cl 2.21
V 0.5000 0.5000 0.5000  12 F 3.12

Output
* polymorph energy (0 for the lowest one): 10.35 eV/f.u.
* M_tot: 4.04 μB per cell